w) {"formula": "Mg2SbPt2", "functional": "GGA-PBE", "state": "optimized geometry", "mass_density_kg_m3": 9493, "cell": [[3.953, 0.000, 0.000], [0.000, 3.953, 0.000], [1.976, 1.976, 6.275]], "species": ["Pt", "Pt", "Mg", "Mg", "Sb"], "fractional_positions": [[0.607, 0.607, 0.785], [0.393, 0.393, 0.215], [0.250, 0.750, 0.500], [0.750, 0.250, 0.500], [0.000, 0.000, 0.000]]}

***

x) {"formula": "Mg2SbPt2", "functional": "GGA-PBE", "state": "optimized geometry", "mass_density_kg_m3": 10209, "cell": [[7.720, 0.000, 0.000], [0.000, 7.720, 0.000], [0.000, 0.000, 3.059]], "species": ["Mg", "Mg", "Mg", "Mg", "Sb", "Sb", "Pt", "Pt", "Pt", "Pt"], "fractional_positions": [[0.856, 0.356, 0.500], [0.144, 0.644, 0.500], [0.356, 0.144, 0.500], [0.644, 0.856, 0.500], [0.500, 0.500, 0.000], [0.000, 0.000, 0.000], [0.152, 0.348, 0.000], [0.652, 0.152, 0.000], [0.348, 0.848, 0.000], [0.848, 0.652, 0.000]]}

***

Name the most stable of them. x).

***

w) {"formula": "MgSb2Pt2", "functional": "GGA-PBE", "state": "optimized geometry", "mass_density_kg_m3": 10636, "cell": [[-1.444, -5.388, -4.674], [7.133, -1.081, -0.956], [0.007, -2.543, 2.929]], "species": ["Pt", "Pt", "Pt", "Pt", "Mg", "Mg", "Sb", "Sb", "Sb", "Sb"], "fractional_positions": [[0.361, 0.861, 0.000], [0.861, 0.639, 0.000], [0.639, 0.139, 0.000], [0.139, 0.361, 0.000], [0.000, 0.000, 0.000], [0.500, 0.500, 0.000], [0.331, 0.169, 0.500], [0.169, 0.669, 0.500], [0.669, 0.831, 0.500], [0.831, 0.331, 0.500]]}

***

x) {"formula": "MgSb2Pt2", "functional": "GGA-PBE", "state": "optimized geometry", "mass_density_kg_m3": 9558, "cell": [[3.913, 0.000, 0.000], [0.000, 3.913, 0.000], [1.957, 1.957, 7.466]], "species": ["Sb", "Sb", "Pt", "Pt", "Mg"], "fractional_positions": [[0.379, 0.379, 0.243], [0.621, 0.621, 0.757], [0.250, 0.750, 0.500], [0.750, 0.250, 0.500], [0.000, 0.000, 0.000]]}

***

Name the most stable of them. w).

***

w) {"formula": "Mg2ScPt2", "functional": "GGA-PBE", "state": "optimized geometry", "mass_density_kg_m3": 8524, "cell": [[-0.283, -2.097, 3.207], [-0.878, -3.095, -2.101], [5.616, -4.070, 0.136]], "species": ["Pt", "Pt", "Mg", "Mg", "Sc"], "fractional_positions": [[0.603, 0.603, 0.793], [0.397, 0.397, 0.207], [0.750, 0.250, 0.500], [0.250, 0.750, 0.500], [0.000, 0.000, 0.000]]}

***

x) {"formula": "Mg2ScPt2", "functional": "GGA-PBE", "state": "optimized geometry", "mass_density_kg_m3": 8581, "cell": [[-6.437, 2.268, 1.653], [-1.213, -5.977, 3.480], [1.368, 1.570, 3.174]], "species": ["Mg", "Mg", "Mg", "Mg", "Pt", "Pt", "Pt", "Pt", "Sc", "Sc"], "fractional_positions": [[0.842, 0.342, 0.500], [0.158, 0.658, 0.500], [0.658, 0.842, 0.500], [0.342, 0.158, 0.500], [0.361, 0.861, 0.000], [0.861, 0.639, 0.000], [0.639, 0.139, 0.000], [0.139, 0.361, 0.000], [0.500, 0.500, 0.000], [0.000, 0.000, 0.000]]}

***

y) {"formula": "Mg2ScPt2", "functional": "GGA-PBE", "state": "optimized geometry", "mass_density_kg_m3": 8218, "cell": [[4.494, 0.000, 0.000], [0.000, 4.536, -0.060], [0.000, 0.135, 9.589]], "species": ["Sc", "Sc", "Pt", "Pt", "Pt", "Pt", "Mg", "Mg", "Mg", "Mg"], "fractional_positions": [[0.250, 0.750, 0.329], [0.750, 0.250, 0.671], [0.750, 0.750, 0.507], [0.750, 0.750, 0.165], [0.250, 0.250, 0.835], [0.250, 0.250, 0.493], [0.750, 0.250, 0.007], [0.250, 0.750, 0.674], [0.750, 0.250, 0.326], [0.250, 0.750, 0.993]]}

***

Name the most stable of them. y).

***

w) {"formula": "MgPt3Se", "functional": "GGA-PBE", "state": "optimized geometry", "mass_density_kg_m3": 10925, "cell": [[4.712, 0.000, 0.000], [0.000, 4.712, 0.000], [0.000, 0.000, 4.712]], "species": ["Mg", "Pt", "Pt", "Pt", "Se"], "fractional_positions": [[0.500, 0.500, 0.500], [0.000, 0.500, 0.000], [0.000, 0.000, 0.500], [0.500, 0.000, 0.000], [0.000, 0.000, 0.000]]}

***

x) {"formula": "MgPt3Se", "functional": "GGA-PBE", "state": "optimized geometry", "mass_density_kg_m3": 11349, "cell": [[-2.760, 2.277, -2.974], [1.654, -2.573, -3.506], [-3.361, -3.137, 0.717]], "species": ["Mg", "Pt", "Pt", "Pt", "Se"], "fractional_positions": [[0.000, 0.000, 0.000], [0.000, 0.000, 0.500], [0.000, 0.500, 0.000], [0.500, 0.000, 0.000], [0.500, 0.500, 0.500]]}

***

Name the most stable of them. w).

***

w) {"formula": "Mg3PtSe", "functional": "GGA-PBE", "state": "optimized geometry", "mass_density_kg_m3": 5017, "cell": [[-2.092, 4.243, -1.115], [-3.267, -2.331, -2.741], [-2.928, -0.430, 3.856]], "species": ["Se", "Mg", "Mg", "Mg", "Pt"], "fractional_positions": [[0.000, 0.000, 0.000], [0.000, 0.000, 0.500], [0.500, 0.000, 0.000], [0.000, 0.500, 0.000], [0.500, 0.500, 0.500]]}

***

x) {"formula": "Mg3PtSe", "functional": "GGA-PBE", "state": "optimized geometry", "mass_density_kg_m3": 4661, "cell": [[4.981, 0.000, 0.000], [0.000, 4.981, 0.000], [0.000, 0.000, 4.981]], "species": ["Mg", "Mg", "Mg", "Pt", "Se"], "fractional_positions": [[0.000, 0.000, 0.500], [0.500, 0.000, 0.000], [0.000, 0.500, 0.000], [0.000, 0.000, 0.000], [0.500, 0.500, 0.500]]}

***

Name the most stable of them. x).

***

w) {"formula": "MgSiPt4", "functional": "GGA-PBE", "state": "optimized geometry", "mass_density_kg_m3": 13213, "cell": [[0.000, 3.740, 3.740], [3.740, 0.000, 3.740], [3.740, 3.740, 0.000]], "species": ["Pt", "Pt", "Pt", "Pt", "Si", "Mg"], "fractional_positions": [[0.375, 0.375, 0.875], [0.375, 0.375, 0.375], [0.375, 0.875, 0.375], [0.875, 0.375, 0.375], [0.750, 0.750, 0.750], [0.000, 0.000, 0.000]]}

***

x) {"formula": "MgSiPt4", "functional": "GGA-PBE", "state": "optimized geometry", "mass_density_kg_m3": 13895, "cell": [[-0.407, -1.263, 3.859], [3.557, -1.981, -0.274], [2.869, 4.886, 1.902]], "species": ["Pt", "Pt", "Pt", "Pt", "Si", "Mg"], "fractional_positions": [[0.000, 0.500, 0.266], [0.500, 0.000, 0.266], [0.500, 0.000, 0.734], [0.000, 0.500, 0.734], [0.500, 0.500, 0.500], [0.000, 0.000, 0.000]]}

***

Name the most stable of them. x).

***

w) {"formula": "MgSiPt3", "functional": "GGA-PBE", "state": "optimized geometry", "mass_density_kg_m3": 10723, "cell": [[-4.519, 0.015, -0.972], [0.968, -0.377, -4.504], [-0.094, -4.607, 0.365]], "species": ["Pt", "Pt", "Pt", "Mg", "Si"], "fractional_positions": [[0.000, 0.500, 0.000], [0.500, 0.000, 0.000], [0.000, 0.000, 0.500], [0.000, 0.000, 0.000], [0.500, 0.500, 0.500]]}

***

x) {"formula": "MgSiPt3", "functional": "GGA-PBE", "state": "optimized geometry", "mass_density_kg_m3": 11317, "cell": [[4.540, 0.000, 0.000], [0.000, 4.540, 0.000], [0.000, 0.000, 4.540]], "species": ["Mg", "Pt", "Pt", "Pt", "Si"], "fractional_positions": [[0.500, 0.500, 0.500], [0.000, 0.000, 0.500], [0.500, 0.000, 0.000], [0.000, 0.500, 0.000], [0.000, 0.000, 0.000]]}

***

Name the most stable of them. x).

***

w) {"formula": "MgSiPt3", "functional": "GGA-PBE", "state": "optimized geometry", "mass_density_kg_m3": 12013, "cell": [[-0.171, -2.147, -5.289], [-3.406, -1.774, 0.830], [-1.955, 3.179, -1.227]], "species": ["Pt", "Pt", "Pt", "Mg", "Si"], "fractional_positions": [[0.890, 0.500, 0.000], [0.890, 0.000, 0.500], [0.526, 0.000, 0.000], [0.505, 0.500, 0.500], [0.132, 0.000, 0.000]]}

***

x) {"formula": "MgSiPt3", "functional": "GGA-PBE", "state": "optimized geometry", "mass_density_kg_m3": 12457, "cell": [[-4.854, -0.738, -2.644], [-0.044, -1.716, -5.319], [-2.138, -6.601, -0.114]], "species": ["Pt", "Pt", "Pt", "Pt", "Pt", "Pt", "Si", "Si", "Mg", "Mg"], "fractional_positions": [[0.999, 0.985, 0.433], [0.139, 0.822, 0.818], [0.068, 0.532, 0.252], [0.099, 0.333, 0.901], [0.584, 0.333, 0.902], [0.500, 0.984, 0.432], [0.005, 0.305, 0.601], [0.878, 0.030, 0.133], [0.485, 0.482, 0.465], [0.625, 0.844, 0.823]]}

***

Name the most stable of them. x).